This record from the Alexandria database describes an optimized crystal structure of Cd2Ni2AuO6. The functional is PBE with a Hubbard U.

Results
E   -4.306 eV/atom
Space group   No. 12
Total magnetic moment   3.1 Bohr magnetons per cell

a = 5.4653 Å, b = 5.4653 Å, c = 5.6643 Å
α = 98.53°, β = 98.53°, γ = 120.93°
Last column: nearest neighbours and their distance in Å.
Atoms (fractional coordinates):
Cd: 0.1688 0.8312 0.0000  6 O 2.31-2.43
Cd: 0.8312 0.1688 0.0000  6 O 2.31-2.43
Ni: 0.3360 0.6640 0.5000  6 O 2.06-2.18
Ni: 0.6640 0.3360 0.5000  6 O 2.06-2.18
Au: 0.0000 0.0000 0.5000  6 O 2.04-2.21
O: 0.0449 0.4020 0.7115  2 Ni 2.06-2.18, 1 Au 2.21, 1 Cd 2.31
O: 0.2549 0.2549 0.2978  1 Au 2.04, 2 Ni 2.14
O: 0.4020 0.0449 0.7115  2 Ni 2.06-2.18, 1 Au 2.21, 1 Cd 2.31
O: 0.5980 0.9551 0.2885  2 Ni 2.06-2.18, 1 Au 2.21, 1 Cd 2.31
O: 0.7451 0.7451 0.7022  1 Au 2.04, 2 Ni 2.14
O: 0.9551 0.5980 0.2885  2 Ni 2.06-2.18, 1 Au 2.21, 1 Cd 2.31